P.
22
Lattice="9.641 -3.602 0.000 9.641 3.602 0.000 -5.580 0.000 11.307" Properties=species:S:1:pos:R:3 comment="Nd7DyHo3 PBE optimized geometry" n_ef_per_ev_cell=33.52 sg=C2/c pbc="T T T"
Nd 3.774 1.813 5.329
Nd 0.994 1.823 11.008
Nd 5.456 2.045 8.480
Nd 5.316 0.039 2.561
Nd 2.526 -0.039 8.214
Nd 9.917 1.823 5.953
Nd 12.717 1.813 0.324
Nd 0.984 -1.813 10.983
Nd 3.784 -1.823 5.354
Nd 11.175 0.039 3.093
Nd 8.385 -0.039 8.746
Nd 8.246 -2.045 2.827
Nd 12.707 -1.823 0.299
Nd 9.927 -1.813 5.978
Dy 0.000 0.000 0.000
Dy -2.790 0.000 5.654
Ho 1.755 0.019 3.102
Ho -1.035 -0.019 8.756
Ho 9.641 0.000 0.000
Ho 6.851 0.000 5.654
Ho 14.736 0.019 2.551
Ho 11.946 -0.019 8.205

---

Q.
11
Lattice="-2.956 5.689 5.696 2.956 -5.689 5.696 2.956 5.689 -5.696" Properties=species:S:1:pos:R:3 comment="Nd7DyHo3 PBE optimized geometry" n_ef_per_ev_cell=14.67 sg=Immm pbc="T T T"
Nd 0.000 0.000 0.000
Nd 2.956 -2.192 3.302
Nd 2.956 3.311 0.000
Nd 2.956 2.192 3.302
Nd 0.000 3.497 2.394
Nd 0.000 2.379 5.696
Nd 0.000 7.882 2.394
Dy 2.956 0.000 0.000
Ho 0.000 0.000 3.368
Ho 0.000 5.689 0.000
Ho 0.000 0.000 8.024

---

In order of decreasing stability: P, Q.